# 1
An optimized crystal structure of Sc2Ga5Ru2Rh. Source: Alexandria, functional PBE.

Computed properties:
* space-group type: P4/mbm
* calculated formation energy: -0.463 eV/atom

a b c (Å): 3.9704 9.1112 9.1112
angles (deg): 90.00 90.00 90.00
With the nearest neighbours (Å) after each atom.
Fractional coordinates of all 20 atoms:
Sc  0.0000  0.6763  0.1763  3 Ru 2.60-2.76
Sc  0.0000  0.3237  0.8237  3 Ru 2.60-2.76
Sc  0.0000  0.1763  0.3237  3 Ru 2.60-2.76
Sc  0.0000  0.8237  0.6763  3 Ru 2.60-2.76
Ga  0.5000  0.1987  0.0639  2 Ru 2.63, 3 Ga 2.69-2.81, 2 Rh 2.75
Ga  0.5000  0.8013  0.9361  2 Ru 2.63, 3 Ga 2.69-2.81, 2 Rh 2.75
Ga  0.5000  0.0639  0.8013  2 Ru 2.63, 3 Ga 2.69-2.81, 2 Rh 2.75
Ga  0.5000  0.6987  0.4361  2 Ru 2.63, 3 Ga 2.69-2.81, 2 Rh 2.75
Ga  0.5000  0.9361  0.1987  2 Ru 2.63, 3 Ga 2.69-2.81, 2 Rh 2.75
Ga  0.5000  0.3013  0.5639  2 Ru 2.63, 3 Ga 2.69-2.81, 2 Rh 2.75
Ga  0.5000  0.5639  0.6987  2 Ru 2.63, 3 Ga 2.69-2.81, 2 Rh 2.75
Ga  0.5000  0.4361  0.3013  2 Ru 2.63, 3 Ga 2.69-2.81, 2 Rh 2.75
Ga  0.5000  0.5000  0.0000  4 Ru 2.53, 4 Ga 2.81
Ga  0.5000  0.0000  0.5000  4 Ru 2.53, 4 Ga 2.81
Ru  0.0000  0.1218  0.6218  6 Ga 2.53-2.63, 3 Sc 2.60-2.76
Ru  0.0000  0.8782  0.3782  6 Ga 2.53-2.63, 3 Sc 2.60-2.76
Ru  0.0000  0.6218  0.8782  6 Ga 2.53-2.63, 3 Sc 2.60-2.76
Ru  0.0000  0.3782  0.1218  6 Ga 2.53-2.63, 3 Sc 2.60-2.76
Rh  0.0000  0.0000  0.0000  8 Ga 2.75
Rh  0.0000  0.5000  0.5000  8 Ga 2.75

# 2
An optimized crystal structure of GaSiRuRh. Source: Alexandria, functional PBE.

Computed properties:
* ΔE_f (raw): -0.589 eV/atom
* space-group type: F-43m

a b c (Å): 4.2272 4.2272 4.2272
angles (deg): 60.00 60.00 60.00
With the nearest neighbours (Å) after each atom.
Fractional coordinates of all 4 atoms:
Ru  0.5000  0.5000  0.5000  4 Si 2.59, 4 Ga 2.59
Si  0.7500  0.7500  0.7500  4 Ru 2.59, 4 Rh 2.59
Rh  0.0000  0.0000  0.0000  4 Ga 2.59, 4 Si 2.59
Ga  0.2500  0.2500  0.2500  4 Ru 2.59, 4 Rh 2.59

# 3
An optimized crystal structure of SmGa4Ru2Rh. Source: Alexandria, functional PBE.

Computed properties:
* space-group type: R-3m
* calculated formation energy: -0.504 eV/atom

a b c (Å): 4.2622 4.2622 8.9389
angles (deg): 76.21 76.21 60.00
With the nearest neighbours (Å) after each atom.
Fractional coordinates of all 8 atoms:
Sm  0.0000  0.0000  0.0000  8 Ga 3.02-3.38
Ga  0.4013  0.4013  0.7961  1 Rh 2.54, 3 Ru 2.57
Ga  0.8689  0.8689  0.3932  4 Ru 2.61-2.71, 3 Rh 2.63
Ga  0.1311  0.1311  0.6068  4 Ru 2.61-2.71, 3 Rh 2.63
Ga  0.5987  0.5987  0.2039  1 Rh 2.54, 3 Ru 2.57
Ru  0.7638  0.7638  0.7087  7 Ga 2.57-2.71
Ru  0.2362  0.2362  0.2913  7 Ga 2.57-2.71
Rh  0.5000  0.5000  0.5000  8 Ga 2.54-2.63

# 4
An optimized crystal structure of SmGa3RuRh. Source: Alexandria, functional PBE.

Computed properties:
* space-group type: Cmcm
* calculated formation energy: -0.439 eV/atom

a b c (Å): 5.7432 7.8093 6.6303
angles (deg): 126.08 90.00 90.00
With the nearest neighbours (Å) after each atom.
Fractional coordinates of all 12 atoms:
Sm  0.7500  0.2095  0.4191  1 Rh 2.75, 2 Ga 3.05
Sm  0.2500  0.7905  0.5809  1 Rh 2.75, 2 Ga 3.05
Ga  0.2500  0.3066  0.6132  1 Ru 2.41, 1 Rh 2.44
Ga  0.0000  0.2398  0.0000  2 Rh 2.51, 2 Ru 2.52
Ga  0.5000  0.7602  0.0000  2 Rh 2.51, 2 Ru 2.52
Ga  0.5000  0.2398  0.0000  2 Rh 2.51, 2 Ru 2.52
Ga  0.0000  0.7602  0.0000  2 Rh 2.51, 2 Ru 2.52
Ga  0.7500  0.6934  0.3868  1 Ru 2.41, 1 Rh 2.44
Ru  0.2500  0.0816  0.1633  5 Ga 2.41-2.52
Ru  0.7500  0.9184  0.8367  5 Ga 2.41-2.52
Rh  0.2500  0.5340  0.0679  5 Ga 2.44-2.51
Rh  0.7500  0.4660  0.9321  5 Ga 2.44-2.51

# 5
An optimized crystal structure of SmGa2RuRh. Source: Alexandria, functional PBE.

Computed properties:
* space-group type: I-4m2
* calculated formation energy: -0.629 eV/atom

a b c (Å): 4.3856 4.3856 5.7267
angles (deg): 112.51 112.51 90.00
With the nearest neighbours (Å) after each atom.
Fractional coordinates of all 5 atoms:
Sm  0.0000  0.0000  0.0000  4 Ru 3.26, 4 Rh 3.26, 10 Ga 3.35-3.53
Ga  0.6329  0.6329  0.2658  2 Ru 2.47, 2 Rh 2.47, 1 Ga 2.56
Ga  0.3671  0.3671  0.7342  2 Rh 2.47, 2 Ru 2.47, 1 Ga 2.56
Ru  0.7500  0.2500  0.5000  4 Ga 2.47
Rh  0.2500  0.7500  0.5000  4 Ga 2.47

# 6
An optimized crystal structure of Sm2Ga5Ru2Rh. Source: Alexandria, functional PBE.

Computed properties:
* space-group type: P4/mbm
* calculated formation energy: -0.440 eV/atom

a b c (Å): 3.1817 10.6213 10.6213
angles (deg): 90.00 90.00 90.00
With the nearest neighbours (Å) after each atom.
Fractional coordinates of all 20 atoms:
Sm  0.0000  0.6813  0.1813  1 Ru 2.86, 2 Ga 3.15, 2 Sm 3.18
Sm  0.0000  0.3187  0.8187  1 Ru 2.86, 2 Ga 3.15, 2 Sm 3.18
Sm  0.0000  0.1813  0.3187  1 Ru 2.86, 2 Ga 3.15, 2 Sm 3.18
Sm  0.0000  0.8187  0.6813  1 Ru 2.86, 2 Ga 3.15, 2 Sm 3.18
Ga  0.5000  0.1906  0.0538  2 Ru 2.62, 2 Rh 2.64
Ga  0.5000  0.8094  0.9462  2 Ru 2.62, 2 Rh 2.64
Ga  0.5000  0.0538  0.8094  2 Ru 2.62, 2 Rh 2.64
Ga  0.5000  0.6906  0.4462  2 Ru 2.62, 2 Rh 2.64
Ga  0.5000  0.9462  0.1906  2 Ru 2.62, 2 Rh 2.64
Ga  0.5000  0.3094  0.5538  2 Ru 2.62, 2 Rh 2.64
Ga  0.5000  0.5538  0.6906  2 Ru 2.62, 2 Rh 2.64
Ga  0.5000  0.4462  0.3094  2 Ru 2.62, 2 Rh 2.64
Ga  0.5000  0.5000  0.0000  4 Ru 2.50
Ga  0.5000  0.0000  0.5000  4 Ru 2.50
Ru  0.0000  0.1284  0.6284  6 Ga 2.50-2.62
Ru  0.0000  0.8716  0.3716  6 Ga 2.50-2.62
Ru  0.0000  0.6284  0.8716  6 Ga 2.50-2.62
Ru  0.0000  0.3716  0.1284  6 Ga 2.50-2.62
Rh  0.0000  0.0000  0.0000  8 Ga 2.64
Rh  0.0000  0.5000  0.5000  8 Ga 2.64

# 7
An optimized crystal structure of Sm2Ga4RuRh3. Source: Alexandria, functional PBE.

Computed properties:
* space-group type: P-4m2
* calculated formation energy: -0.715 eV/atom

a b c (Å): 4.3935 4.3935 9.6549
angles (deg): 90.00 90.00 90.00
With the nearest neighbours (Å) after each atom.
Fractional coordinates of all 10 atoms:
Sm  0.5000  0.0000  0.2708  2 Ru 3.12, 6 Rh 3.12-3.42, 9 Ga 3.27-3.42
Sm  0.0000  0.5000  0.7292  2 Ru 3.12, 6 Rh 3.12-3.42, 9 Ga 3.27-3.42
Ga  0.5000  0.5000  0.0000  4 Rh 2.49
Ga  0.0000  0.0000  0.0000  4 Rh 2.49
Ga  0.5000  0.0000  0.6237  3 Rh 2.45-2.50, 2 Ru 2.50
Ga  0.0000  0.5000  0.3763  3 Rh 2.45-2.50, 2 Ru 2.50
Ru  0.5000  0.5000  0.5000  4 Ga 2.50
Rh  0.0000  0.0000  0.5000  4 Ga 2.50
Rh  0.5000  0.0000  0.8777  5 Ga 2.45-2.49
Rh  0.0000  0.5000  0.1223  5 Ga 2.45-2.49

# 8
An optimized crystal structure of SrGa4RuRh2. Source: Alexandria, functional PBE.

Computed properties:
* space-group type: R-3m
* calculated formation energy: -0.552 eV/atom

a b c (Å): 4.2438 4.2438 9.6065
angles (deg): 77.24 77.24 60.00
With the nearest neighbours (Å) after each atom.
Fractional coordinates of all 8 atoms:
Sr  0.0000  0.0000  0.0000  6 Ga 3.22
Ga  0.4086  0.4086  0.7743  3 Rh 2.55, 1 Ru 2.55
Ga  0.8654  0.8654  0.4038  3 Ru 2.61, 4 Rh 2.63-2.75
Ga  0.1346  0.1346  0.5962  3 Ru 2.61, 4 Rh 2.63-2.75
Ga  0.5914  0.5914  0.2257  3 Rh 2.55, 1 Ru 2.55
Ru  0.5000  0.5000  0.5000  8 Ga 2.55-2.61
Rh  0.7668  0.7668  0.6996  7 Ga 2.55-2.75
Rh  0.2332  0.2332  0.3004  7 Ga 2.55-2.75

# 9
An optimized crystal structure of SrGa2RuRh. Source: Alexandria, functional PBE.

Computed properties:
* space-group type: P4/mmm
* calculated formation energy: 0.145 eV/atom

a b c (Å): 4.7454 4.9911 4.7454
angles (deg): 90.00 90.00 90.00
With the nearest neighbours (Å) after each atom.
Fractional coordinates of all 5 atoms:
Ru  0.0000  0.5000  0.0000  2 Rh 2.50
Rh  0.0000  0.0000  0.0000  4 Ga 2.37, 2 Ru 2.50
Ga  0.0000  0.0000  0.5000  2 Rh 2.37
Ga  0.5000  0.0000  0.0000  2 Rh 2.37
Sr  0.5000  0.5000  0.5000  4 Ru 3.36, 8 Ga 3.44

# 10
An optimized crystal structure of Sr2Ga6RuRh. Source: Alexandria, functional PBE.

Computed properties:
* space-group type: Fm-3m
* calculated formation energy: -0.412 eV/atom

a b c (Å): 6.8186 6.8198 6.8237
angles (deg): 60.00 60.01 90.02
With the nearest neighbours (Å) after each atom.
Fractional coordinates of all 10 atoms:
Sr  0.7500  0.2502  0.4998  12 Ga 3.41
Sr  0.2500  0.7498  0.5002  12 Ga 3.41
Ga  0.2496  0.2496  0.5003  1 Ru 2.41, 1 Rh 2.41
Ga  0.7503  0.7503  0.9999  1 Ru 2.41, 1 Rh 2.41
Ga  0.2499  0.7503  0.0000  1 Ru 2.41, 1 Rh 2.41
Ga  0.7501  0.2497  0.0000  1 Ru 2.41, 1 Rh 2.41
Ga  0.2497  0.2497  0.0001  1 Ru 2.41, 1 Rh 2.41
Ga  0.7504  0.7504  0.4997  1 Ru 2.41, 1 Rh 2.41
Ru  0.0000  0.0000  0.0000  6 Ga 2.41
Rh  0.5000  0.5000  0.0000  6 Ga 2.41

# 11
An optimized crystal structure of TaGaRuRh2. Source: Alexandria, functional PBE.

Computed properties:
* space-group type: P4/mmm
* calculated formation energy: 1.021 eV/atom

a b c (Å): 4.7296 4.7184 4.7296
angles (deg): 90.00 90.00 90.00
With the nearest neighbours (Å) after each atom.
Fractional coordinates of all 5 atoms:
Ru  0.0000  0.5000  0.0000  2 Ta 2.36
Rh  0.0000  0.0000  0.5000  2 Ta 2.36
Rh  0.5000  0.0000  0.0000  2 Ta 2.36
Ga  0.5000  0.5000  0.5000  8 Rh 3.34, 4 Ru 3.34
Ta  0.0000  0.0000  0.0000  2 Ru 2.36, 4 Rh 2.36

# 12
An optimized crystal structure of Tb2Ga5RuRh2. Source: Alexandria, functional PBE.

Computed properties:
* space-group type: P4/mbm
* calculated formation energy: -0.545 eV/atom

a b c (Å): 3.9152 9.5182 9.5182
angles (deg): 90.00 90.00 90.00
With the nearest neighbours (Å) after each atom.
Fractional coordinates of all 20 atoms:
Tb  0.0000  0.6810  0.1810  3 Rh 2.71-2.91
Tb  0.0000  0.3190  0.8190  3 Rh 2.71-2.91
Tb  0.0000  0.1810  0.3190  3 Rh 2.71-2.91
Tb  0.0000  0.8190  0.6810  3 Rh 2.71-2.91
Ga  0.5000  0.1942  0.0541  3 Ga 2.71-2.96, 2 Rh 2.72, 2 Ru 2.74
Ga  0.5000  0.8058  0.9459  3 Ga 2.71-2.96, 2 Rh 2.72, 2 Ru 2.74
Ga  0.5000  0.0541  0.8058  3 Ga 2.71-2.96, 2 Rh 2.72, 2 Ru 2.74
Ga  0.5000  0.6942  0.4459  3 Ga 2.71-2.96, 2 Rh 2.72, 2 Ru 2.74
Ga  0.5000  0.9459  0.1942  3 Ga 2.71-2.96, 2 Rh 2.72, 2 Ru 2.74
Ga  0.5000  0.3058  0.5541  3 Ga 2.71-2.96, 2 Rh 2.72, 2 Ru 2.74
Ga  0.5000  0.5541  0.6942  3 Ga 2.71-2.96, 2 Rh 2.72, 2 Ru 2.74
Ga  0.5000  0.4459  0.3058  3 Ga 2.71-2.96, 2 Rh 2.72, 2 Ru 2.74
Ga  0.5000  0.5000  0.0000  4 Rh 2.52
Ga  0.5000  0.0000  0.5000  4 Rh 2.52
Ru  0.0000  0.0000  0.0000  8 Ga 2.74
Ru  0.0000  0.5000  0.5000  8 Ga 2.74
Rh  0.0000  0.1179  0.6179  6 Ga 2.52-2.72, 1 Tb 2.71
Rh  0.0000  0.8821  0.3821  6 Ga 2.52-2.72, 1 Tb 2.71
Rh  0.0000  0.6179  0.8821  6 Ga 2.52-2.72, 1 Tb 2.71
Rh  0.0000  0.3821  0.1179  6 Ga 2.52-2.72, 1 Tb 2.71

no.,density of states at the Fermi level (states/eV/cell),VASP energy (eV per atom)
1,12.81,-5.83
2,1.13,-6.86
3,4.21,-5.85
4,4.89,-5.51
5,1.58,-6.11
6,11.85,-5.49
7,4.66,-6.00
8,1.67,-5.27
9,5.07,-4.73
10,6.44,-4.23
11,2.59,-6.75
12,10.89,-5.38